Record 1
# HfTi2Co2, relaxed, DFT PBE-GGA
# Theoretical density (Mg/m³): 8.4
# Formation energy (eV per formula unit): -0.53
# Energy above the lowest structure with this stoichiometry (eV/atom): 0.144
data_HfTi2Co2
_chemical_formula_sum 'Hf2 Ti4 Co4'
_symmetry_space_group_name_H-M 'C m m m'
_symmetry_Int_Tables_number 65
_symmetry_space_group_name_Hall '-C 2 2'
_cell_length_a 3.0355
_cell_length_b 18.0294
_cell_length_c 2.8278
_cell_angle_alpha 90.00
_cell_angle_beta 90.00
_cell_angle_gamma 90.00
loop_
_atom_site_label
_atom_site_type_symbol
_atom_site_fract_x
_atom_site_fract_y
_atom_site_fract_z
Hf1 Hf 0.0000 0.0000 0.0000
Ti1 Ti 0.0000 0.1790 0.0000
Co1 Co 0.0000 0.3991 0.5000

---

Record 2
# HfTi5Co4, relaxed, DFT PBE-GGA
# Theoretical density (Mg/m³): 7.6
# Formation energy (eV per formula unit): -3.00
data_HfTi5Co4
_chemical_formula_sum 'Hf1 Ti5 Co4'
_symmetry_space_group_name_H-M 'P 4/m m m'
_symmetry_Int_Tables_number 123
_symmetry_space_group_name_Hall '-P 4 2'
_cell_length_a 3.0160
_cell_length_b 3.0160
_cell_length_c 15.7697
_cell_angle_alpha 90.00
_cell_angle_beta 90.00
_cell_angle_gamma 90.00
loop_
_atom_site_label
_atom_site_type_symbol
_atom_site_fract_x
_atom_site_fract_y
_atom_site_fract_z
Hf1 Hf 0.0000 0.0000 0.0000
Ti1 Ti 0.5000 0.5000 0.1317
Ti2 Ti 0.5000 0.5000 0.3159
Ti3 Ti 0.5000 0.5000 0.5000
Co1 Co 0.0000 0.0000 0.2274
Co2 Co 0.0000 0.0000 0.4088

---

Record 3
# Hf2TiCo2, relaxed, DFT PBE-GGA
# Theoretical density (Mg/m³): 10.7
# Formation energy (eV per formula unit): -1.36
# Energy above the lowest structure with this stoichiometry (eV/atom): 0.000
data_Hf2TiCo2
_chemical_formula_sum 'Hf4 Ti2 Co4'
_symmetry_space_group_name_H-M 'P 4/m b m'
_symmetry_Int_Tables_number 127
_symmetry_space_group_name_Hall '-P 4 2ab'
_cell_length_a 6.9409
_cell_length_b 6.9409
_cell_length_c 3.3580
_cell_angle_alpha 90.00
_cell_angle_beta 90.00
_cell_angle_gamma 90.00
loop_
_atom_site_label
_atom_site_type_symbol
_atom_site_fract_x
_atom_site_fract_y
_atom_site_fract_z
Hf1 Hf 0.1697 0.3303 0.0000
Ti1 Ti 0.0000 0.0000 0.5000
Co1 Co 0.1296 0.6296 0.5000

---

Record 4
# Hf2TiCo2, relaxed, DFT PBE-GGA
# Theoretical density (Mg/m³): 10.6
# Formation energy (eV per formula unit): -0.34
# Energy above the lowest structure with this stoichiometry (eV/atom): 0.204
data_Hf2TiCo2
_chemical_formula_sum 'Hf4 Ti2 Co4'
_symmetry_space_group_name_H-M 'P 4/m b m'
_symmetry_Int_Tables_number 127
_symmetry_space_group_name_Hall '-P 4 2ab'
_cell_length_a 7.4831
_cell_length_b 7.4831
_cell_length_c 2.9253
_cell_angle_alpha 90.00
_cell_angle_beta 90.00
_cell_angle_gamma 90.00
loop_
_atom_site_label
_atom_site_type_symbol
_atom_site_fract_x
_atom_site_fract_y
_atom_site_fract_z
Hf1 Hf 0.1515 0.3485 0.0000
Ti1 Ti 0.0000 0.0000 0.0000
Co1 Co 0.1464 0.6464 0.5000

---

Record 5
# Hf2TiCo, relaxed, DFT PBE-GGA
# Theoretical density (Mg/m³): 10.5
# Formation energy (eV per formula unit): -0.56
data_Hf2TiCo
_chemical_formula_sum 'Hf4 Ti2 Co2'
_symmetry_space_group_name_H-M 'P 1 21/m 1'
_symmetry_Int_Tables_number 11
_cell_length_a 3.1486
_cell_length_b 9.0431
_cell_length_c 5.1597
_cell_angle_alpha 90.00
_cell_angle_beta 90.07
_cell_angle_gamma 90.00
loop_
_symmetry_equiv_pos_as_xyz
'x,y,z'
'-x,-y,-z'
'-x,y+1/2,-z'
'x,-y+1/2,z'
loop_
_atom_site_label
_atom_site_type_symbol
_atom_site_fract_x
_atom_site_fract_y
_atom_site_fract_z
Hf1 Hf 0.2504 0.0465 0.2443
Ti1 Ti 0.2488 0.2500 0.7073
Co1 Co 0.2500 0.7500 0.9450

---

Record 6
# Hf2Ti5Co4, relaxed, DFT PBE-GGA
# Theoretical density (Mg/m³): 8.1
# Formation energy (eV per formula unit): -1.94
data_Hf2Ti5Co4
_chemical_formula_sum 'Hf4 Ti10 Co8'
_symmetry_space_group_name_H-M 'C 1 2/m 1'
_symmetry_Int_Tables_number 12
_cell_length_a 11.2177
_cell_length_b 5.2939
_cell_length_c 7.9173
_cell_angle_alpha 90.00
_cell_angle_beta 133.71
_cell_angle_gamma 90.00
loop_
_symmetry_equiv_pos_as_xyz
'x,y,z'
'-x,-y,-z'
'-x,y,-z'
'x,-y,z'
'x+1/2,y+1/2,z'
'-x+1/2,-y+1/2,-z'
'-x+1/2,y+1/2,-z'
'x+1/2,-y+1/2,z'
loop_
_atom_site_label
_atom_site_type_symbol
_atom_site_fract_x
_atom_site_fract_y
_atom_site_fract_z
Hf1 Hf 0.1954 0.0000 0.2003
Ti1 Ti 0.0000 0.5000 0.0000
Ti2 Ti 0.0024 0.2498 0.6846
Co1 Co 0.2315 0.5000 0.0451
Co2 Co 0.2458 0.0000 0.5940

---

Record 7
# HfTi2Co9, relaxed, DFT PBE-GGA
# Theoretical density (Mg/m³): 8.9
# Formation energy (eV per formula unit): -2.89
data_HfTi2Co9
_chemical_formula_sum 'Hf3 Ti6 Co27'
_symmetry_space_group_name_H-M 'R -3 m'
_symmetry_Int_Tables_number 166
_symmetry_space_group_name_Hall '-R 3 2"'
_cell_length_a 4.7236
_cell_length_b 4.7236
_cell_length_c 23.3250
_cell_angle_alpha 90.00
_cell_angle_beta 90.00
_cell_angle_gamma 120.00
loop_
_atom_site_label
_atom_site_type_symbol
_atom_site_fract_x
_atom_site_fract_y
_atom_site_fract_z
Hf1 Hf 0.0000 0.0000 0.0000
Ti1 Ti 0.0000 0.0000 0.1400
Co1 Co 0.0000 0.0000 0.3355
Co2 Co 0.0000 0.0000 0.5000
Co3 Co 0.0063 0.5031 0.9148

---

Record 8
# HfTi4Co2, relaxed, DFT PBE-GGA
# Theoretical density (Mg/m³): 7.2
# Formation energy (eV per formula unit): -1.04
data_HfTi4Co2
_chemical_formula_sum 'Hf2 Ti8 Co4'
_symmetry_space_group_name_H-M 'C m m m'
_symmetry_Int_Tables_number 65
_symmetry_space_group_name_Hall '-C 2 2'
_cell_length_a 4.0876
_cell_length_b 13.6796
_cell_length_c 4.0319
_cell_angle_alpha 90.00
_cell_angle_beta 90.00
_cell_angle_gamma 90.00
loop_
_atom_site_label
_atom_site_type_symbol
_atom_site_fract_x
_atom_site_fract_y
_atom_site_fract_z
Hf1 Hf 0.0000 0.0000 0.0000
Ti1 Ti 0.0000 0.1797 0.5000
Ti2 Ti 0.0000 0.3244 0.0000
Co1 Co 0.0000 0.4192 0.5000

---

Record 9
# Hf2TiCo4, relaxed, DFT PBE-GGA
# Theoretical density (Mg/m³): 9.9
# Formation energy (eV per formula unit): -0.80
data_Hf2TiCo4
_chemical_formula_sum 'Hf6 Ti3 Co12'
_symmetry_space_group_name_H-M 'R -3 m'
_symmetry_Int_Tables_number 166
_symmetry_space_group_name_Hall '-R 3 2"'
_cell_length_a 4.2364
_cell_length_b 4.2364
_cell_length_c 20.6750
_cell_angle_alpha 90.00
_cell_angle_beta 90.00
_cell_angle_gamma 120.00
loop_
_atom_site_label
_atom_site_type_symbol
_atom_site_fract_x
_atom_site_fract_y
_atom_site_fract_z
Hf1 Hf 0.0000 0.0000 0.2410
Ti1 Ti 0.0000 0.0000 0.0000
Co1 Co 0.0000 0.0000 0.1182
Co2 Co 0.0000 0.0000 0.3701

---

Record 10
# Hf2TiCo, relaxed, DFT PBE-GGA
# Theoretical density (Mg/m³): 11.1
# Formation energy (eV per formula unit): -0.21
data_Hf2TiCo
_chemical_formula_sum 'Hf2 Ti1 Co1'
_symmetry_space_group_name_H-M 'P 4/m m m'
_symmetry_Int_Tables_number 123
_symmetry_space_group_name_Hall '-P 4 2'
_cell_length_a 4.6171
_cell_length_b 4.6171
_cell_length_c 3.2675
_cell_angle_alpha 90.00
_cell_angle_beta 90.00
_cell_angle_gamma 90.00
loop_
_atom_site_label
_atom_site_type_symbol
_atom_site_fract_x
_atom_site_fract_y
_atom_site_fract_z
Hf1 Hf 0.0000 0.5000 0.0000
Ti1 Ti 0.0000 0.0000 0.5000
Co1 Co 0.5000 0.5000 0.5000

---

Record 11
# Hf5TiCo3, relaxed, DFT PBE-GGA
# Theoretical density (Mg/m³): 10.7
# Formation energy (eV per formula unit): 0.23
data_Hf5TiCo3
_chemical_formula_sum 'Hf20 Ti4 Co12'
_symmetry_space_group_name_H-M 'C 1 2/m 1'
_symmetry_Int_Tables_number 12
_cell_length_a 9.8981
_cell_length_b 8.0684
_cell_length_c 9.0605
_cell_angle_alpha 90.00
_cell_angle_beta 107.24
_cell_angle_gamma 90.00
loop_
_symmetry_equiv_pos_as_xyz
'x,y,z'
'-x,-y,-z'
'-x,y,-z'
'x,-y,z'
'x+1/2,y+1/2,z'
'-x+1/2,-y+1/2,-z'
'-x+1/2,y+1/2,-z'
'x+1/2,-y+1/2,z'
loop_
_atom_site_label
_atom_site_type_symbol
_atom_site_fract_x
_atom_site_fract_y
_atom_site_fract_z
Hf1 Hf 0.0000 0.1869 0.0000
Hf2 Hf 0.0480 0.0000 0.3428
Hf3 Hf 0.1756 0.2804 0.6283
Hf4 Hf 0.2437 0.0000 0.8911
Ti1 Ti 0.0009 0.5000 0.2406
Co1 Co 0.0000 0.5000 0.0000
Co2 Co 0.0000 0.5000 0.5000
Co3 Co 0.2117 0.0000 0.1566
Co4 Co 0.2398 0.5000 0.4211

---

Record 12
# HfTiCo, relaxed, DFT PBE-GGA
# Theoretical density (Mg/m³): 9.7
# Formation energy (eV per formula unit): -0.23
data_HfTiCo
_chemical_formula_sum 'Hf1 Ti1 Co1'
_symmetry_space_group_name_H-M 'P 3 m 1'
_symmetry_Int_Tables_number 156
_cell_length_a 4.2282
_cell_length_b 4.2282
_cell_length_c 3.1661
_cell_angle_alpha 90.00
_cell_angle_beta 90.00
_cell_angle_gamma 120.00
loop_
_symmetry_equiv_pos_as_xyz
'x,y,z'
'-y,x-y,z'
'-x+y,-x,z'
'-y,-x,z'
'-x+y,y,z'
'x,x-y,z'
loop_
_atom_site_label
_atom_site_type_symbol
_atom_site_fract_x
_atom_site_fract_y
_atom_site_fract_z
Hf1 Hf 0.0000 0.0000 0.0000
Ti1 Ti 0.6667 0.3333 0.4477
Co1 Co 0.3333 0.6667 0.6761

---

Record 13
# Hf2TiCo3, relaxed, DFT PBE-GGA
# Theoretical density (Mg/m³): 10.8
# Formation energy (eV per formula unit): -2.23
# Energy above the lowest structure with this stoichiometry (eV/atom): 0.000
data_Hf2TiCo3
_chemical_formula_sum 'Hf8 Ti4 Co12'
_symmetry_space_group_name_H-M 'C 1 2/c 1'
_symmetry_Int_Tables_number 15
_cell_length_a 7.5865
_cell_length_b 13.1585
_cell_length_c 4.3570
_cell_angle_alpha 90.00
_cell_angle_beta 124.93
_cell_angle_gamma 90.00
loop_
_symmetry_equiv_pos_as_xyz
'x,y,z'
'-x,-y,-z'
'-x,y,-z+1/2'
'x,-y,z+1/2'
'x+1/2,y+1/2,z'
'-x+1/2,-y+1/2,-z'
'-x+1/2,y+1/2,-z+1/2'
'x+1/2,-y+1/2,z+1/2'
loop_
_atom_site_label
_atom_site_type_symbol
_atom_site_fract_x
_atom_site_fract_y
_atom_site_fract_z
Hf1 Hf 0.0000 0.0838 0.2500
Hf2 Hf 0.0000 0.2537 0.7500
Ti1 Ti 0.0000 0.4201 0.2500
Co1 Co 0.2363 0.4219 0.9863
Co2 Co 0.2500 0.2500 0.5000

---

Record 14
# Hf4TiCo, relaxed, DFT PBE-GGA
# Theoretical density (Mg/m³): 11.5
# Formation energy (eV per formula unit): -0.37
data_Hf4TiCo
_chemical_formula_sum 'Hf16 Ti4 Co4'
_symmetry_space_group_name_H-M 'C 1 2/c 1'
_symmetry_Int_Tables_number 15
_cell_length_a 7.8721
_cell_length_b 12.0095
_cell_length_c 5.3581
_cell_angle_alpha 90.00
_cell_angle_beta 110.47
_cell_angle_gamma 90.00
loop_
_symmetry_equiv_pos_as_xyz
'x,y,z'
'-x,-y,-z'
'-x,y,-z+1/2'
'x,-y,z+1/2'
'x+1/2,y+1/2,z'
'-x+1/2,-y+1/2,-z'
'-x+1/2,y+1/2,-z+1/2'
'x+1/2,-y+1/2,z+1/2'
loop_
_atom_site_label
_atom_site_type_symbol
_atom_site_fract_x
_atom_site_fract_y
_atom_site_fract_z
Hf1 Hf 0.1148 0.1804 0.0679
Hf2 Hf 0.2173 0.4175 0.3423
Ti1 Ti 0.0000 0.3811 0.7500
Co1 Co 0.0000 0.0015 0.2500

---

Record 15
# Hf2TiCo, relaxed, DFT PBE-GGA
# Theoretical density (Mg/m³): 10.9
# Formation energy (eV per formula unit): -0.68
data_Hf2TiCo
_chemical_formula_sum 'Hf2 Ti1 Co1'
_symmetry_space_group_name_H-M 'P 4/m m m'
_symmetry_Int_Tables_number 123
_symmetry_space_group_name_Hall '-P 4 2'
_cell_length_a 3.1797
_cell_length_b 3.1797
_cell_length_c 6.9629
_cell_angle_alpha 90.00
_cell_angle_beta 90.00
_cell_angle_gamma 90.00
loop_
_atom_site_label
_atom_site_type_symbol
_atom_site_fract_x
_atom_site_fract_y
_atom_site_fract_z
Hf1 Hf 0.0000 0.0000 0.2222
Ti1 Ti 0.5000 0.5000 0.5000
Co1 Co 0.5000 0.5000 0.0000

---

Record 16
# HfTiVCo2, relaxed, DFT PBE-GGA
# Theoretical density (Mg/m³): 8.2
# Formation energy (eV per formula unit): 2.68
data_HfTiVCo2
_chemical_formula_sum 'Hf1 Ti1 V1 Co2'
_symmetry_space_group_name_H-M 'P 4/m m m'
_symmetry_Int_Tables_number 123
_symmetry_space_group_name_Hall '-P 4 2'
_cell_length_a 4.2955
_cell_length_b 4.2955
_cell_length_c 4.3476
_cell_angle_alpha 90.00
_cell_angle_beta 90.00
_cell_angle_gamma 90.00
loop_
_atom_site_label
_atom_site_type_symbol
_atom_site_fract_x
_atom_site_fract_y
_atom_site_fract_z
Hf1 Hf 0.0000 0.0000 0.0000
Ti1 Ti 0.5000 0.5000 0.0000
V1 V 0.5000 0.5000 0.5000
Co1 Co 0.0000 0.5000 0.5000

---

Record 17
# HfTiZnCo, relaxed, DFT PBE-GGA
# Theoretical density (Mg/m³): 9.3
# Formation energy (eV per formula unit): -0.77
data_HfTiZnCo
_chemical_formula_sum 'Hf4 Ti4 Zn4 Co4'
_symmetry_space_group_name_H-M 'F -4 3 m'
_symmetry_Int_Tables_number 216
_symmetry_space_group_name_Hall 'F -4 2 3'
_cell_length_a 6.3108
_cell_length_b 6.3108
_cell_length_c 6.3108
_cell_angle_alpha 90.00
_cell_angle_beta 90.00
_cell_angle_gamma 90.00
loop_
_atom_site_label
_atom_site_type_symbol
_atom_site_fract_x
_atom_site_fract_y
_atom_site_fract_z
Hf1 Hf 0.0000 0.0000 0.0000
Ti1 Ti 0.0000 0.0000 0.5000
Zn1 Zn 0.2500 0.2500 0.2500
Co1 Co 0.2500 0.2500 0.7500

---

Record 18
# HfZrTiCo, relaxed, DFT PBE-GGA
# Theoretical density (Mg/m³): 8.8
# Formation energy (eV per formula unit): 0.00
data_HfZrTiCo
_chemical_formula_sum 'Hf4 Zr4 Ti4 Co4'
_symmetry_space_group_name_H-M 'F -4 3 m'
_symmetry_Int_Tables_number 216
_symmetry_space_group_name_Hall 'F -4 2 3'
_cell_length_a 6.5758
_cell_length_b 6.5758
_cell_length_c 6.5758
_cell_angle_alpha 90.00
_cell_angle_beta 90.00
_cell_angle_gamma 90.00
loop_
_atom_site_label
_atom_site_type_symbol
_atom_site_fract_x
_atom_site_fract_y
_atom_site_fract_z
Hf1 Hf 0.0000 0.0000 0.0000
Zr1 Zr 0.0000 0.0000 0.5000
Ti1 Ti 0.2500 0.2500 0.2500
Co1 Co 0.2500 0.2500 0.7500

---

Record 19
# Hf3TlCo, relaxed, DFT PBE-GGA
# Theoretical density (Mg/m³): 12.0
# Formation energy (eV per formula unit): 0.50
# Energy above the lowest structure with this stoichiometry (eV/atom): 0.190
data_Hf3TlCo
_chemical_formula_sum 'Hf3 Tl1 Co1'
_symmetry_space_group_name_H-M 'P m -3 m'
_symmetry_Int_Tables_number 221
_symmetry_space_group_name_Hall '-P 4 2 3'
_cell_length_a 4.7990
_cell_length_b 4.7990
_cell_length_c 4.7990
_cell_angle_alpha 90.00
_cell_angle_beta 90.00
_cell_angle_gamma 90.00
loop_
_atom_site_label
_atom_site_type_symbol
_atom_site_fract_x
_atom_site_fract_y
_atom_site_fract_z
Hf1 Hf 0.0000 0.0000 0.5000
Tl1 Tl 0.5000 0.5000 0.5000
Co1 Co 0.0000 0.0000 0.0000

---

Record 20
# Hf6TlCo, relaxed, DFT PBE-GGA
# Theoretical density (Mg/m³): 12.4
# Formation energy (eV per formula unit): 1.31
data_Hf6TlCo
_chemical_formula_sum 'Hf18 Tl3 Co3'
_symmetry_space_group_name_H-M 'R -3 m'
_symmetry_Int_Tables_number 166
_symmetry_space_group_name_Hall '-R 3 2"'
_cell_length_a 9.2527
_cell_length_b 9.2527
_cell_length_c 7.2303
_cell_angle_alpha 90.00
_cell_angle_beta 90.00
_cell_angle_gamma 120.00
loop_
_atom_site_label
_atom_site_type_symbol
_atom_site_fract_x
_atom_site_fract_y
_atom_site_fract_z
Hf1 Hf 0.0560 0.5280 0.3087
Tl1 Tl 0.0000 0.0000 0.0000
Co1 Co 0.0000 0.0000 0.5000

---

E, respectively: -8.0976, -8.0855, -8.6749, -8.4705, -8.8658, -8.1586, -7.7156, -8.1120, -8.1461, -8.7802, -8.7504, -8.3951, -8.5576, -9.1975, -8.8962, -7.6996, -6.7505, -8.3751, -7.7662, -8.4859 eV per atom.